VASP calculation (PBE) on an optimized crystal structure of CaAg4Sn.

a b c (Å): 5.642 5.642 5.642
angles (deg): 60.00 60.00 60.00
Positions (direct):
Ca: 0.000 0.000 0.000
Sn: 0.250 0.250 0.250
Ag: 0.625 0.625 0.124
Ag: 0.625 0.124 0.625
Ag: 0.625 0.625 0.625
Ag: 0.124 0.625 0.625

Values from the calculation:
- Calculated formation energy: -1.5 eV/f.u.

VASP calculation (PBE) on an optimized crystal structure of TiMnRh.

a b c (Å): 4.086 6.009 6.009
angles (deg): 120.00 90.00 90.00
Site moments in Bohr magnetons follow the coordinates.
Positions (direct):
Ti: 0.500 0.667 0.333  -0.18
Ti: 0.500 0.333 0.667  -0.18
Ti: 0.000 0.000 0.000  -0.38
Rh: 0.000 0.558 0.558  0.20
Rh: 0.000 0.000 0.442  0.20
Rh: 0.000 0.442 0.000  0.20
Mn: 0.500 0.000 0.769  1.89
Mn: 0.500 0.769 0.000  1.89
Mn: 0.500 0.231 0.231  1.89

Values from the calculation:
- Calculated formation energy: -0.2 eV/f.u.
- Relative energy among the computed polymorphs: 0.317 eV/atom